VASP calculation (PBE-GGA) on a geometry-optimized Sr2CaTaIn structure.

E_form: 1.664 eV per atom
Total moment: 0.00 μB per atom

Unit cell a=5.8568 b=5.5057 c=5.8568 alpha=90.00 beta=90.00 gamma=90.00
Last column: nearest neighbours and their distance in Å.
Atoms (fractional coordinates):
Sr1 0.0000 0.0000 0.5000  2 Ca 2.93
Sr2 0.5000 0.0000 0.0000  2 Ca 2.93
Ta1 0.5000 0.5000 0.5000  8 Sr 4.02, 4 In 4.14
In1 0.0000 0.5000 0.0000  2 Ca 2.75
Ca1 0.0000 0.0000 0.0000  2 In 2.75, 4 Sr 2.93